Entry 1:
# La4Cu3MoO12

Crystalline La4Cu3MoO12 at its relaxed geometry (PBE+U, Alexandria via LeMat-Bulk).

final energy: -7.21 eV/atom
SG: P2_1/m

Lattice parameters (Å, degrees): 10.943 6.941 7.993 89.99 90.00 90.00
Last column: magnetic moment on the atom in μB.
Sites, in units of the cell vectors:
La  0.500  0.762  0.630  -0.01
La  0.997  0.249  0.880  0.00
La  0.000  0.762  0.630  -0.01
La  0.000  0.238  0.370  -0.01
La  0.003  0.751  0.120  0.00
La  0.497  0.751  0.120  0.00
La  0.500  0.238  0.370  -0.01
La  0.503  0.249  0.880  0.00
Cu  0.250  0.113  0.089  -0.40
Cu  0.750  0.891  0.340  -0.39
Cu  0.250  0.109  0.660  -0.39
Cu  0.250  0.545  0.868  0.19
Cu  0.750  0.455  0.132  0.19
Cu  0.750  0.887  0.911  -0.40
Mo  0.250  0.581  0.378  0.00
Mo  0.750  0.419  0.622  0.00
O  0.250  0.714  0.578  0.00
O  0.074  0.581  0.377  0.00
O  0.584  0.416  0.127  0.03
O  0.918  0.918  0.371  -0.05
O  0.416  0.086  0.121  -0.05
O  0.418  0.082  0.629  -0.05
O  0.084  0.584  0.873  0.03
O  0.750  0.686  0.624  -0.01
O  0.750  0.286  0.422  0.00
O  0.916  0.914  0.879  -0.05
O  0.250  0.314  0.376  -0.01
O  0.584  0.914  0.879  -0.05
O  0.926  0.419  0.623  0.00
O  0.750  0.286  0.822  -0.01
O  0.084  0.086  0.121  -0.05
O  0.250  0.264  0.873  -0.18
O  0.082  0.082  0.629  -0.05
O  0.426  0.581  0.377  0.00
O  0.574  0.419  0.623  0.00
O  0.416  0.584  0.873  0.03
O  0.582  0.918  0.371  -0.05
O  0.916  0.416  0.127  0.03
O  0.250  0.714  0.178  -0.01
O  0.750  0.736  0.127  -0.18

Entry 2:
# La4Cu3MoO12

Crystalline La4Cu3MoO12 at its relaxed geometry (PBE+U, Alexandria via LeMat-Bulk).

final energy: -7.00 eV/atom
SG: Im-3m

Lattice parameters (Å, degrees): 6.858 6.858 6.858 109.47 109.47 109.47
Last column: magnetic moment on the atom in μB.
Sites, in units of the cell vectors:
La  0.000  0.500  0.000  0.01
La  0.500  0.000  0.000  0.01
La  0.000  0.000  0.500  0.01
La  0.500  0.500  0.500  0.01
Cu  0.500  0.000  0.500  -0.01
Cu  0.000  0.500  0.500  -0.01
Cu  0.500  0.500  0.000  -0.01
Mo  0.000  0.000  0.000  0.25
O  0.250  0.750  0.500  0.00
O  0.758  0.000  0.758  -0.01
O  0.000  0.758  0.758  -0.01
O  0.000  0.242  0.242  -0.01
O  0.242  0.242  0.000  -0.01
O  0.242  0.000  0.242  -0.01
O  0.758  0.758  0.000  -0.01
O  0.750  0.250  0.500  0.00
O  0.500  0.250  0.750  0.00
O  0.500  0.750  0.250  0.00
O  0.250  0.500  0.750  0.00
O  0.750  0.500  0.250  0.00

Entry 3:
# La4ZnCu2MoO12

Crystalline La4ZnCu2MoO12 at its relaxed geometry (PBE+U, Alexandria via LeMat-Bulk).

final energy: -7.15 eV/atom
SG: P-1

Lattice parameters (Å, degrees): 8.004 8.014 11.721 99.80 99.87 120.03
Last column: magnetic moment on the atom in μB.
Sites, in units of the cell vectors:
La  0.000  0.500  0.000  0.00
La  0.250  0.755  0.504  0.00
La  0.750  0.245  0.496  0.00
La  0.500  0.000  0.000  0.00
La  0.759  0.759  0.499  0.00
La  0.241  0.241  0.501  0.00
La  0.000  0.000  0.000  0.00
La  0.500  0.500  0.000  0.00
Zn  0.225  0.016  0.753  0.00
Zn  0.775  0.984  0.247  0.00
Cu  0.230  0.581  0.749  -0.40
Cu  0.770  0.419  0.251  -0.40
Cu  0.667  0.019  0.749  0.41
Cu  0.333  0.981  0.251  0.41
Mo  0.710  0.538  0.747  0.00
Mo  0.290  0.462  0.253  0.00
O  0.879  0.548  0.417  -0.05
O  0.121  0.452  0.583  -0.05
O  0.381  0.865  0.748  0.00
O  0.619  0.135  0.252  0.00
O  0.444  0.400  0.749  0.00
O  0.556  0.600  0.251  0.00
O  0.379  0.546  0.427  0.00
O  0.621  0.454  0.573  0.00
O  0.160  0.595  0.250  0.00
O  0.840  0.405  0.750  0.00
O  0.143  0.194  0.251  0.00
O  0.857  0.806  0.749  0.00
O  0.207  0.875  0.084  0.06
O  0.793  0.125  0.916  0.06
O  0.204  0.371  0.076  0.00
O  0.796  0.629  0.924  0.00
O  0.710  0.378  0.084  -0.06
O  0.290  0.622  0.916  -0.06
O  0.291  0.128  0.919  0.00
O  0.709  0.872  0.081  0.00
O  0.369  0.039  0.417  0.05
O  0.631  0.961  0.583  0.05
O  0.123  0.962  0.586  0.00
O  0.877  0.038  0.414  0.00

Q: Which formula does entry 3 have?
A: La4ZnCu2MoO12